Compound: Ba2NiAgF6
Source: Alexandria
Functional: PBE+U
Structure: optimized geometry

Geometry as POSCAR:
```
Ba2NiAgF6
1.0
5.7781 0.0000 0.0000
0.0000 8.5768 0.0000
0.0000 0.0000 7.7578
Ba Ni Ag F
4 2 2 12
Direct
0.2500 0.0171 0.1810 Ba
0.2500 0.4829 0.1810 Ba
0.7500 0.5171 0.8190 Ba
0.7500 0.9829 0.8190 Ba
0.2500 0.7500 0.8222 Ni
0.7500 0.2500 0.1778 Ni
0.2500 0.2500 0.6331 Ag
0.7500 0.7500 0.3669 Ag
0.0107 0.7500 0.0136 F
0.0154 0.2500 0.3403 F
0.2500 0.5147 0.8398 F
0.2500 0.9853 0.8398 F
0.4846 0.2500 0.3403 F
0.4893 0.7500 0.0136 F
0.5107 0.2500 0.9864 F
0.5154 0.7500 0.6597 F
0.7500 0.0147 0.1602 F
0.7500 0.4853 0.1602 F
0.9846 0.7500 0.6597 F
0.9893 0.2500 0.9864 F
```

Calculated values
space-group type: No. 59
total energy: -46.64 eV/f.u.
theoretical density: 4.8 g/cm3